[1]
DFT (PBE) results for a geometry-optimized LiHo2ZrS4 structure.

## Properties
The raw formation energy comes out at -14.15 eV/f.u. The value obtained for the total energy is -6.285 eV/atom. The spin magnetization comes out at 0.00 μB per cell.

a b c (Å): 6.439 3.800 6.686
angles (deg): 90.00 109.30 90.00
Space group P2/m (No. 10)
Symmetry-distinct sites (fractional):
Li 0.000 0.000 0.000 (multiplicity 1)
Ho 0.500 0.000 0.500 (multiplicity 1)
Ho 0.500 0.500 0.000 (multiplicity 1)
Zr 0.000 0.500 0.500 (multiplicity 1)
S 0.237 0.000 0.752 (multiplicity 2)
S 0.237 0.500 0.244 (multiplicity 2)

---

[2]
DFT (PBE) results for a geometry-optimized Li3Ho3ZrS8 structure.

## Properties
The raw formation energy comes out at -26.84 eV/f.u. The value obtained for the total energy is -5.859 eV/atom. The spin magnetization comes out at 0.00 μB per cell.

a b c (Å): 7.7372 7.7372 18.4857
angles (deg): 90.00 90.00 120.00
Space group R-3m (No. 166, hexagonal axes)
Symmetry-distinct sites (fractional):
Li 0.0000 0.5000 0.0000 (multiplicity 9)
Ho 0.0000 0.5000 0.5000 (multiplicity 9)
Zr 0.0000 0.0000 0.5000 (multiplicity 3)
S 0.0000 0.0000 0.2500 (multiplicity 6)
S 0.0153 0.5077 0.2470 (multiplicity 18)

---

[3]
DFT (PBE) results for a geometry-optimized Li3HoZr2S6 structure.

## Properties
The raw formation energy comes out at -19.34 eV/f.u. The value obtained for the total energy is -5.960 eV/atom. The spin magnetization comes out at 0.00 μB per cell.

a b c (Å): 6.414 11.110 6.592
angles (deg): 90.00 108.93 90.00
Space group C2/m (No. 12)
Symmetry-distinct sites (fractional):
Li 0.000 0.000 0.000 (multiplicity 2)
Li 0.000 0.334 0.000 (multiplicity 4)
Ho 0.000 0.500 0.500 (multiplicity 2)
Zr 0.000 0.167 0.500 (multiplicity 4)
S 0.241 0.000 0.753 (multiplicity 4)
S 0.244 0.172 0.249 (multiplicity 8)

---

[4]
DFT (PBE) results for a geometry-optimized Li2HoZrS4 structure.

## Properties
The raw formation energy comes out at -13.31 eV/f.u. The value obtained for the total energy is -5.846 eV/atom. The spin magnetization comes out at 0.00 μB per cell.

a b c (Å): 6.530 3.737 6.566
angles (deg): 90.00 109.18 90.00
Space group P2/m (No. 10)
Symmetry-distinct sites (fractional):
Li 0.000 0.000 0.000 (multiplicity 1)
Li 0.500 0.500 0.000 (multiplicity 1)
Ho 0.000 0.500 0.500 (multiplicity 1)
Zr 0.500 0.000 0.500 (multiplicity 1)
S 0.258 0.500 0.250 (multiplicity 2)
S 0.261 0.000 0.753 (multiplicity 2)